A relaxed AgIr3Rh crystal. Source: the Alexandria database, functional GGA-PBEsol.

Unit cell a=4.647 b=4.647 c=4.647 alpha=90.00 beta=90.00 gamma=90.00
Last column: magnetic moment on the atom in μB.
Fractional positions:
Ir 0.000 0.500 0.000  0.88
Ir 0.000 0.000 0.500  0.88
Ir 0.500 0.000 0.000  0.88
Rh 0.500 0.500 0.500  1.25
Ag 0.000 0.000 0.000  0.04

Values from the calculation:
Energy of formation   2.85 eV/atom



A relaxed TiSiRh3 crystal. Source: the Alexandria database, functional GGA-PBEsol.

Unit cell a=4.443 b=4.443 c=4.443 alpha=90.00 beta=90.00 gamma=90.00
Fractional positions:
Si 0.500 0.500 0.500
Rh 0.000 0.500 0.000
Rh 0.000 0.000 0.500
Rh 0.500 0.000 0.000
Ti 0.000 0.000 0.000

Values from the calculation:
Uncorrected formation energy   0.832 eV/atom



A relaxed NiTe3Mo crystal. Source: the Alexandria database, functional GGA-PBEsol.

Unit cell a=5.176 b=5.176 c=5.176 alpha=90.00 beta=90.00 gamma=90.00
Last column: magnetic moment on the atom in μB.
Fractional positions:
Ni 0.500 0.500 0.500  0.85
Mo 0.000 0.000 0.000  -0.15
Te 0.000 0.500 0.000  0.04
Te 0.000 0.000 0.500  0.04
Te 0.500 0.000 0.000  0.04

Values from the calculation:
Uncorrected formation energy   1.025 eV/atom



A relaxed K2BaSc crystal. Source: the Alexandria database, functional GGA-PBEsol.

Unit cell a=6.499 b=6.508 c=6.499 alpha=60.05 beta=90.00 gamma=119.95
Last column: magnetic moment on the atom in μB.
Fractional positions:
Ba 0.750 0.500 0.750  0.09
K 0.000 0.000 0.000  0.01
K 0.250 0.500 0.250  0.01
Sc 0.500 0.000 0.500  0.67

Values from the calculation:
Energy of formation   0.57 eV/atom
Relative energy among the computed polymorphs   194 meV per atom